# 1
First-principles (PBE) data for an optimized crystal structure of ZrGa3Te, as listed in Alexandria.

The space group is Pm-3m (No. 221) and the conventional cell measures 5.2165, 5.2165 and 5.2165 Å, with angles of 90.00, 90.00 and 90.00 degrees. Symmetry generates all atoms from Zr at (0.0000, 0.0000, 0.0000), Ga at (0.0000, 0.5000, 0.5000) and Te at (0.5000, 0.5000, 0.5000).

Its energy relative to the lowest polymorph listed for this composition is 40.26 kJ per mole of atoms. Its volume is 28.39 Å³/atom.

---

# 2
First-principles (PBE) data for an optimized crystal structure of RbNaSb, as listed in Alexandria.

The space group is P3m1 (No. 156) and the conventional cell measures 5.6726, 5.6726 and 3.8595 Å, with angles of 90.00, 90.00 and 120.00 degrees. Symmetry generates all atoms from Rb at (0.0000, 0.0000, 0.0000), Na at (0.3333, 0.6667, 0.4979) and Sb at (0.6667, 0.3333, 0.5005).

Its energy relative to the lowest polymorph listed for this composition is 0.00 kJ per mole of atoms. Its volume is 35.85 Å³/atom.

---

# 3
First-principles (PBE) data for an optimized crystal structure of Pm12IrPt6, as listed in Alexandria.

The space group is R-3 (No. 148, hexagonal axes) and the conventional cell measures 12.8325, 12.8325 and 12.0528 Å, with angles of 90.00, 90.00 and 120.00 degrees. Symmetry generates all atoms from Pm at (0.0283, 0.8115, 0.3945), Pm at (0.0422, 0.8360, 0.8851), Ir at (0.0000, 0.0000, 0.0000) and Pt at (0.0449, 0.7817, 0.6470).

Its volume is 30.16 Å³/atom. The formation energy comes out at -15.20 eV/f.u.

---

# 4
First-principles (PBE) data for an optimized crystal structure of CoSeCl2, as listed in Alexandria.

The space group is P4mm (No. 99) and the conventional cell measures 3.4777, 3.4777 and 7.9006 Å, with angles of 90.00, 90.00 and 90.00 degrees. Symmetry generates all atoms from Co at (0.0000, 0.0000, 0.0000), Se at (0.5000, 0.5000, 0.9325), Cl at (0.0000, 0.0000, 0.2710) and Cl at (0.5000, 0.5000, 0.6507).

Its energy relative to the lowest polymorph listed for this composition is 17.15 kJ per mole of atoms. Its volume is 23.89 Å³/atom.